# MgCoW2

A relaxed MgCoW2 crystal (PBE-GGA, Alexandria via LeMat-Bulk).

Output
Energy of formation from the pure elements ... 0.43 eV per atom
V ... 14.94 Å³/atom

Lattice parameters (Å, degrees): 2.691 4.215 5.267 90.00 90.00 90.00
Element x y z (fractional)
Mg: 0.500 0.500 0.750
W: 0.000 0.000 0.496
W: 0.000 0.000 0.004
Co: 0.500 0.500 0.250